Rb3Pr3RuO8 | PBE-GGA | relaxed

Cell: 7.1131 7.1131 19.8414 Å, 90.00 90.00 120.00°
Closest atoms and distances in Å follow each position.
Space group R-3m (No. 166, hexagonal axes)
Asymmetric unit:
Rb 0.0000 0.5000 0.0000 (multiplicity 9)  6 O 2.94-2.95
Pr 0.0000 0.5000 0.5000 (multiplicity 9)  6 O 2.38-2.44
Ru 0.0000 0.0000 0.5000 (multiplicity 3)  6 O 2.12
O 0.0000 0.0000 0.2276 (multiplicity 6)  3 Pr 2.38
O 0.0384 0.5192 0.2219 (multiplicity 18)  1 Ru 2.12

Results
- N(E_F) (states/eV per cell) = 18.001
- spin magnetization (μB per atom) = 0.133
- ΔE_f (raw) (eV per atom) = -2.161